[1]
A relaxed TbFe2 crystal. Source: Alexandria, functional GGA-PBE.

a b c (Å): 5.495 5.495 5.495
angles (deg): 145.72 145.72 49.27
Element x y z (fractional)
Tb  0.000  0.000  0.000
Fe  0.300  0.300  0.000
Fe  0.700  0.700  0.000

Formation energy ... 161 meV per atom
Total DFT energy (no corrections) ... -7.024 eV/atom



[2]
A relaxed Tb2Fe17 crystal. Source: Alexandria, functional GGA-PBE.

a b c (Å): 8.481 8.481 8.238
angles (deg): 90.00 90.00 120.00
Element x y z (fractional)
Tb  0.000  0.000  0.250
Tb  0.000  0.000  0.750
Tb  0.333  0.667  0.250
Tb  0.667  0.333  0.750
Fe  0.000  0.500  0.000
Fe  0.000  0.500  0.500
Fe  0.040  0.369  0.750
Fe  0.040  0.671  0.750
Fe  0.166  0.332  0.016
Fe  0.166  0.332  0.484
Fe  0.166  0.834  0.016
Fe  0.166  0.834  0.484
Fe  0.329  0.369  0.750
Fe  0.329  0.960  0.750
Fe  0.332  0.166  0.516
Fe  0.332  0.166  0.984
Fe  0.333  0.667  0.606
Fe  0.333  0.667  0.894
Fe  0.369  0.040  0.250
Fe  0.369  0.329  0.250
Fe  0.500  0.000  0.000
Fe  0.500  0.000  0.500
Fe  0.500  0.500  0.000
Fe  0.500  0.500  0.500
Fe  0.631  0.671  0.750
Fe  0.631  0.960  0.750
Fe  0.667  0.333  0.106
Fe  0.667  0.333  0.394
Fe  0.668  0.834  0.016
Fe  0.668  0.834  0.484
Fe  0.671  0.040  0.250
Fe  0.671  0.631  0.250
Fe  0.834  0.166  0.516
Fe  0.834  0.166  0.984
Fe  0.834  0.668  0.516
Fe  0.834  0.668  0.984
Fe  0.960  0.329  0.250
Fe  0.960  0.631  0.250

Formation energy ... -8 meV per atom
Total DFT energy (no corrections) ... -8.067 eV/atom



[3]
A relaxed Tb2Fe17 crystal. Source: Alexandria, functional GGA-PBE.

a b c (Å): 6.403 6.403 6.403
angles (deg): 82.78 82.78 82.78
Element x y z (fractional)
Tb  0.160  0.160  0.160
Tb  0.840  0.840  0.840
Fe  0.000  0.500  0.500
Fe  0.157  0.157  0.657
Fe  0.157  0.657  0.157
Fe  0.205  0.500  0.795
Fe  0.205  0.795  0.500
Fe  0.343  0.843  0.843
Fe  0.404  0.404  0.404
Fe  0.500  0.000  0.500
Fe  0.500  0.205  0.795
Fe  0.500  0.500  0.000
Fe  0.500  0.795  0.205
Fe  0.596  0.596  0.596
Fe  0.657  0.157  0.157
Fe  0.795  0.205  0.500
Fe  0.795  0.500  0.205
Fe  0.843  0.343  0.843
Fe  0.843  0.843  0.343

Formation energy ... -7 meV per atom
Total DFT energy (no corrections) ... -8.066 eV/atom



- What is the formula in the third record?
  Tb2Fe17